# 1
{
  "formula": "CsNa3Hg",
  "functional": "PBE-GGA",
  "state": "relaxed",
  "cell": [[8.0476, 0.0756, 0.0559], [1.9698, 10.7172, 0.5221], [1.9698, 3.6435, 10.0924]],
  "species": ["Na", "Hg", "Cs", "Na", "Hg", "Cs", "Na", "Na", "Na", "Hg", "Na", "Na", "Hg", "Na", "Na", "Na", "Cs", "Na", "Cs", "Na"],
  "fractional_positions": [[0.0869, 0.6460, 0.9840], [0.2948, 0.5749, 0.2401], [0.2500, 0.3629, 0.6371], [0.9023, 0.0214, 0.3615], [0.7948, 0.2401, 0.5749], [0.7500, 0.0449, 0.9551], [0.5955, 0.3150, 0.3105], [0.5977, 0.6385, 0.9786], [0.0955, 0.3105, 0.3150], [0.2052, 0.7599, 0.4251], [0.4023, 0.3615, 0.0214], [0.9131, 0.3540, 0.0160], [0.7052, 0.4251, 0.7599], [0.4045, 0.6850, 0.6895], [0.0977, 0.9786, 0.6385], [0.9045, 0.6895, 0.6850], [0.7500, 0.6371, 0.3629], [0.5869, 0.9840, 0.6460], [0.2500, 0.9551, 0.0449], [0.4131, 0.0160, 0.3540]],
  "magmom_total_mub_per_fu": 0.00,
  "spacegroup": "C2/c, No. 15",
  "formation_enthalpy_0k_mev_per_atom": -75,
  "final_energy_ev_per_fu": -5.5
}


# 2
{
  "formula": "Cs5NaHg2",
  "functional": "PBE-GGA",
  "state": "relaxed",
  "cell": [[-8.5437, 5.5543, 1.7839], [-5.7043, -8.6167, -0.4908], [8.3128, 0.1803, 9.2533]],
  "species": ["Cs", "Hg", "Cs", "Cs", "Cs", "Hg", "Hg", "Cs", "Cs", "Hg", "Na", "Cs", "Cs", "Cs", "Cs", "Na"],
  "fractional_positions": [[0.9651, 0.4651, 0.2717], [0.8908, 0.6092, 0.0000], [0.5349, 0.6934, 0.7283], [0.6934, 0.1934, 0.7283], [0.0349, 0.5349, 0.7283], [0.6092, 0.1092, 0.0000], [0.1092, 0.3908, 0.0000], [0.8066, 0.9651, 0.2717], [0.0000, 0.0000, 0.0000], [0.3908, 0.8908, 0.0000], [0.7500, 0.7500, 0.5000], [0.3066, 0.8066, 0.2717], [0.4651, 0.3066, 0.2717], [0.1934, 0.0349, 0.7283], [0.5000, 0.5000, 0.0000], [0.2500, 0.2500, 0.5000]],
  "magmom_total_mub_per_fu": 0.00,
  "spacegroup": "I4/mcm, No. 140",
  "formation_enthalpy_0k_mev_per_atom": -124,
  "final_energy_ev_per_fu": -7.2
}